1.
VASP calculation (PBE-GGA) on a geometry-optimized YErAl2O6 structure.

Results
ΔE_f (raw) = -3.32 eV/atom

Cell lengths 5.2000, 5.3825, 7.4259 Å; angles 90.00, 90.00, 90.00 degrees
Closest atoms and distances in Å follow each position.
Atoms (fractional coordinates):
O (0.0459, 0.7041, 0.7009)  2 Al 1.93-1.95
O (0.6576, 0.5267, 0.5000)  2 Al 1.91
O (0.5464, 0.7960, 0.2052)  2 Al 1.92-1.94
O (0.5464, 0.7960, 0.7948)  2 Al 1.92-1.94
O (0.4536, 0.2960, 0.2052)  2 Al 1.92-1.94
O (0.8366, 0.4768, 0.0000)  2 Al 1.93
O (0.3424, 0.0267, 0.5000)  2 Al 1.91
O (0.1634, 0.9768, 0.0000)  2 Al 1.93
O (0.9541, 0.2041, 0.7009)  2 Al 1.93-1.95
O (0.9541, 0.2041, 0.2991)  2 Al 1.93-1.95
O (0.4536, 0.2960, 0.7948)  2 Al 1.92-1.94
O (0.0459, 0.7041, 0.2991)  2 Al 1.93-1.95
Al (0.7492, 0.4997, 0.7484)  6 O 1.91-1.95
Al (0.2508, 0.9997, 0.7484)  6 O 1.91-1.95
Al (0.7492, 0.4997, 0.2516)  6 O 1.91-1.95
Al (0.2508, 0.9997, 0.2516)  6 O 1.91-1.95
Y (0.7363, 0.0560, 0.0000)  6 O 2.26-2.48
Y (0.2637, 0.5560, 0.0000)  6 O 2.26-2.48
Er (0.7639, 0.9409, 0.5000)  6 O 2.24-2.45
Er (0.2361, 0.4409, 0.5000)  6 O 2.24-2.45

=====

2.
VASP calculation (PBE-GGA) on a geometry-optimized BeCdPt2Au structure.

Results
DFT formation energy = 1.336 eV per atom

Cell lengths 5.0283, 4.9896, 5.0283 Å; angles 90.00, 90.00, 90.00 degrees
Closest atoms and distances in Å follow each position.
Atoms (fractional coordinates):
Pt (0.0000, 0.0000, 0.5000)  2 Au 2.51
Pt (0.5000, 0.0000, 0.0000)  2 Au 2.51
Au (0.0000, 0.0000, 0.0000)  2 Cd 2.49, 4 Pt 2.51
Cd (0.0000, 0.5000, 0.0000)  2 Au 2.49
Be (0.5000, 0.5000, 0.5000)  8 Pt 3.54, 4 Cd 3.56

=====

3.
VASP calculation (PBE-GGA) on a geometry-optimized KSnMo3 structure.

Results
DFT formation energy = 2.246 eV per atom

Cell lengths 5.1181, 5.1181, 5.1181 Å; angles 90.00, 90.00, 90.00 degrees
Closest atoms and distances in Å follow each position.
Atoms (fractional coordinates):
Mo (0.5000, 0.0000, 0.0000)  2 Sn 2.56
Mo (0.0000, 0.0000, 0.5000)  2 Sn 2.56
Mo (0.0000, 0.5000, 0.0000)  2 Sn 2.56
Sn (0.0000, 0.0000, 0.0000)  6 Mo 2.56
K (0.5000, 0.5000, 0.5000)  12 Mo 3.62

=====

no.,E (hartree per atom),total magnetization (μB per cell)
1,-0.2995,0.00
2,-0.0979,0.00
3,-0.1938,3.23